No. 1
ErSc2Tl2Zn2 | PBE | optimized geometry

The space group is R-3m (No. 166, hexagonal axes) and the conventional cell measures 4.6766, 4.6766 and 25.1764 Å, with angles of 90.00, 90.00 and 120.00 degrees. The asymmetric unit holds Er at (0.0000, 0.0000, 0.0000), Sc at (0.0000, 0.0000, 0.1364), Tl at (0.0000, 0.0000, 0.2646) and Zn at (0.0000, 0.0000, 0.4446).

The value obtained for the density is 8.32 g/cm3. The value obtained for the formation energy is -1.1 eV per formula unit. For the total energy, the calculation gives -76.7 eV for the cell shown.

No. 2
Ba2TlGeB | PBE | optimized geometry

The space group is P4/mmm (No. 123) and the conventional cell measures 6.331, 6.331 and 3.847 Å, with angles of 90.00, 90.00 and 90.00 degrees. The asymmetric unit holds Ba at (0.000, 0.500, 0.000), Tl at (0.000, 0.000, 0.500), Ge at (0.500, 0.500, 0.500) and B at (0.500, 0.500, 0.000).

The value obtained for the density is 6.06 g/cm3. The value obtained for the formation energy is 0.0 eV per formula unit. For the total energy, the calculation gives -17.5 eV for the cell shown.

No. 3
Te3IrPd | PBE | optimized geometry

The space group is Pm-3m (No. 221) and the conventional cell measures 5.230, 5.230 and 5.230 Å, with angles of 90.00, 90.00 and 90.00 degrees. The asymmetric unit holds Te at (0.000, 0.000, 0.500), Ir at (0.000, 0.000, 0.000) and Pd at (0.500, 0.500, 0.500).

The value obtained for the density is 7.91 g/cm3. The raw formation energy comes out at 0.743 eV/atom. As for the offset from the most stable computed form: 1.038 eV/atom. For the total energy, the calculation gives -19.8 eV for the cell shown.

Number 2 is which compound?
Ba2TlGeB